A geometry-optimized K3NaBe2F8 structure, computed with GGA-PBE.

```
14
Lattice="5.691 0.000 0.000 -2.845 4.928 0.000 0.000 0.000 7.286" Properties=species:S:1:pos:R:3 pbc="T T T"
K 0.000 0.000 0.000
K 0.000 3.286 4.884
K 2.845 1.643 2.402
Na 0.000 0.000 3.643
Be 0.000 3.286 1.665
Be 2.845 1.643 5.621
F 0.000 1.816 2.255
F -1.273 4.021 2.255
F 0.000 3.286 0.138
F 1.573 0.908 5.031
F 1.273 4.021 2.255
F 2.845 1.643 7.147
F 4.118 0.908 5.031
F 2.845 3.113 5.031
```

Summary:
Its formation energy without anion corrections is -70.9 kcal/mol of atoms. For the theoretical density, the calculation gives 2.52 g/cm3.